1.
A geometry-optimized SmHoNi4 structure. Source: Alexandria, functional PBE.

D(E_F)	14.89	states/eV per cell
DFT total energy	-5.817	eV/atom
calculated density	9.8	g cm⁻³

Unit cell a=7.2003 b=7.2003 c=7.2003 alpha=90.00 beta=90.00 gamma=90.00
With the nearest neighbours (Å) after each atom.
Space group F-43m (No. 216)
Symmetry-distinct sites (fractional):
Sm (0.0000, 0.0000, 0.0000) [4 per cell]  12 Ni 2.99, 4 Ho 3.12
Ho (0.2500, 0.2500, 0.7500) [4 per cell]  12 Ni 2.98, 4 Sm 3.12
Ni (0.1245, 0.1245, 0.3755) [16 per cell]  6 Ni 2.54-2.56

2.
A geometry-optimized Sm2Ho3Ni2 structure. Source: Alexandria, functional PBE.

D(E_F)	17.54	states/eV per cell
DFT total energy	-5.209	eV/atom
calculated density	8.5	g cm⁻³

Unit cell a=12.2395 b=3.6055 c=9.0159 alpha=90.00 beta=116.85 gamma=90.00
With the nearest neighbours (Å) after each atom.
Space group C2/m (No. 12)
Symmetry-distinct sites (fractional):
Sm (0.1651, 0.0000, 0.3091) [4 per cell]  2 Ni 2.89
Ho (0.0000, 0.5000, 0.5000) [2 per cell]  4 Ni 2.86
Ho (0.1164, 0.5000, 0.9326) [4 per cell]  3 Ni 2.78-2.93
Ni (0.1694, 0.0000, 0.7397) [4 per cell]  5 Ho 2.78-2.93, 2 Sm 2.89

3.
A geometry-optimized SmHo3Ni2 structure. Source: Alexandria, functional PBE.

D(E_F)	26.17	states/eV per cell
DFT total energy	-5.285	eV/atom
calculated density	8.5	g cm⁻³

Unit cell a=16.0500 b=3.8929 c=11.4114 alpha=90.00 beta=123.53 gamma=90.00
With the nearest neighbours (Å) after each atom.
Space group C2/m (No. 12)
Symmetry-distinct sites (fractional):
Sm (0.1516, 0.0000, 0.2445) [4 per cell]  4 Ni 2.82-3.13
Ho (0.0818, 0.5000, 0.4433) [4 per cell]  3 Ni 2.79-2.96
Ho (0.0835, 0.5000, 0.9387) [4 per cell]  3 Ni 2.78-2.89
Ho (0.1544, 0.0000, 0.7471) [4 per cell]  4 Ni 2.80-3.10
Ni (0.2312, 0.0000, 0.5501) [4 per cell]  2 Ni 2.49, 2 Ho 2.79
Ni (0.2316, 0.0000, 0.0486) [4 per cell]  2 Ni 2.47

4.
A geometry-optimized SmHoNi2 structure. Source: Alexandria, functional PBE.

D(E_F)	2.92	states/eV per cell
DFT total energy	-5.555	eV/atom
calculated density	9.1	g cm⁻³

Unit cell a=4.8491 b=4.8491 c=3.3529 alpha=90.00 beta=90.00 gamma=90.00
With the nearest neighbours (Å) after each atom.
Space group P4/mmm (No. 123)
Symmetry-distinct sites (fractional):
Sm (0.0000, 0.0000, 0.0000) [1 per cell]  8 Ni 2.95
Ho (0.5000, 0.5000, 0.0000) [1 per cell]  8 Ni 2.95
Ni (0.0000, 0.5000, 0.5000) [2 per cell]  4 Ho 2.95, 4 Sm 2.95

5.
A geometry-optimized SmHoNi2 structure. Source: Alexandria, functional PBE.

D(E_F)	4.88	states/eV per cell
DFT total energy	-5.632	eV/atom
calculated density	8.8	g cm⁻³

Unit cell a=4.2353 b=3.7696 c=10.2491 alpha=90.00 beta=90.00 gamma=90.00
With the nearest neighbours (Å) after each atom.
Space group Amm2 (No. 38)
Symmetry-distinct sites (fractional):
Sm (0.0000, 0.0000, 0.0000) [2 per cell]  7 Ni 2.89-2.93
Ho (0.5000, 0.0000, 0.2779) [2 per cell]  7 Ni 2.84-3.00
Ni (0.0000, 0.0000, 0.7143) [2 per cell]  2 Ni 2.58
Ni (0.5000, 0.0000, 0.5708) [2 per cell]  2 Ni 2.58, 2 Ho 2.84

6.
A geometry-optimized SmHoNi structure. Source: Alexandria, functional PBE.

D(E_F)	3.25	states/eV per cell
DFT total energy	-5.091	eV/atom
calculated density	8.4	g cm⁻³

Unit cell a=4.5232 b=4.5232 c=4.1506 alpha=90.00 beta=90.00 gamma=120.00
With the nearest neighbours (Å) after each atom.
Space group P3m1 (No. 156)
Symmetry-distinct sites (fractional):
Sm (0.0000, 0.0000, 0.0000) [1 per cell]  3 Ni 2.90
Ho (0.6667, 0.3333, 0.5142) [1 per cell]  3 Ni 2.75
Ni (0.3333, 0.6667, 0.3063) [1 per cell]  3 Ho 2.75, 3 Sm 2.90